! NaPm2SeO6 | Alexandria | PBE | optimized geometry; values from VASP
&SYSTEM
  ibrav = 0, nat = 10, ntyp = 4
/
ATOMIC_SPECIES
Na 22.99 Na.upf
Pm 145.00 Pm.upf
Se 78.96 Se.upf
O 16.00 O.upf
CELL_PARAMETERS angstrom
5.833 0.166 0.120
2.853 5.090 0.120
2.853 1.727 4.790
ATOMIC_POSITIONS crystal
Na 0.490 0.490 0.490
Pm 0.225 0.225 0.225
Pm 0.716 0.716 0.716
Se 0.007 0.007 0.007
O 0.333 0.115 0.813
O 0.115 0.813 0.333
O 0.879 0.261 0.661
O 0.661 0.879 0.261
O 0.813 0.333 0.115
O 0.261 0.661 0.879
! E   -6.5282 eV per atom